Entry 1:
ZnSi2SnO6 | PBE | relaxed

Calculated values
Raw formation energy, meV/atom: -2136
Spin magnetization, μB/atom: 0.0000
Crystal system: orthorhombic

a b c (Å): 5.4264 19.6406 9.2445
angles (deg): 90.00 90.00 90.00
Space group Pbca (No. 61)
Symmetry-distinct sites (fractional):
Zn (0.1218, 0.1263, 0.1440)
Si (0.0133, 0.7362, 0.6599)
Si (0.2007, 0.0149, 0.8395)
Sn (0.1211, 0.1215, 0.5350)
O (0.0336, 0.6793, 0.1583)
O (0.0342, 0.6968, 0.5058)
O (0.0654, 0.5389, 0.7326)
O (0.2085, 0.5696, 0.3387)
O (0.2441, 0.0528, 0.9932)
O (0.2469, 0.2125, 0.7610)


Entry 2:
Ca2SmGd | PBE | relaxed

Calculated values
Spin magnetization, μB/atom: 1.8756
Crystal system: tetragonal
DFT total energy, eV for the cell shown: -22.23

a b c (Å): 4.1190 4.1190 8.5959
angles (deg): 90.00 90.00 90.00
Space group P4/mmm (No. 123)
Symmetry-distinct sites (fractional):
Ca (0.0000, 0.0000, 0.2496)
Sm (0.5000, 0.5000, 0.0000)
Gd (0.5000, 0.5000, 0.5000)


Entry 3:
La5Tb4Pm4 | PBE | relaxed

Calculated values
Spin magnetization, μB/atom: 0.0000
Crystal system: tetragonal
DFT total energy, eV for the cell shown: -123.70

a b c (Å): 13.2296 13.2296 5.1648
angles (deg): 90.00 90.00 90.00
Space group I4/m (No. 87)
Symmetry-distinct sites (fractional):
La (0.0000, 0.0000, 0.0000)
La (0.0396, 0.8075, 0.5000)
Tb (0.1552, 0.2335, 0.0000)
Pm (0.0763, 0.6151, 0.0000)


no.,DOS(E_F) (states/eV per cell)
1,0.00
2,6.86
3,44.78